No. 1
## RbCdSnAu (PBE)

Data for an optimized crystal structure of RbCdSnAu.

```
RbCdSnAu
1.0
-4.342 0.053 2.162
-2.846 -3.924 -0.178
0.371 -3.551 6.273
Sn Rb Cd Au
1 1 1 1
direct
0.007 0.007 0.978 Sn
0.811 0.811 0.568 Rb
0.278 0.278 0.165 Cd
0.630 0.630 0.111 Au
```

Values from the calculation:
As for the space group: R3m. The value obtained for the spin magnetization is 0.00 μB per formula unit. The total energy comes out at -2.504 eV/atom. The volume is 135.6 Å³/f.u.

---

No. 2
## SrTcIr (PBE)

Data for an optimized crystal structure of SrTcIr.

```
SrTcIr
1.0
-3.634 1.797 -1.906
-2.611 -4.447 0.786
-0.957 3.207 4.849
Tc Ir Sr
2 2 2
direct
0.704 0.525 0.213 Tc
0.204 0.260 0.128 Tc
0.204 0.798 0.237 Ir
0.704 0.987 0.104 Ir
0.704 0.136 0.624 Sr
0.204 0.648 0.718 Sr
```

Values from the calculation:
The relative energy among the computed polymorphs comes out at 0.085 eV/atom. As for the space group: P2_1/m. The value obtained for the spin magnetization is 0.00 μB per formula unit. The total energy comes out at -6.882 eV/atom. The volume is 66.5 Å³/f.u.

---

No. 3
## Nd3TlSe4 (PBE)

Data for an optimized crystal structure of Nd3TlSe4.

```
Nd3TlSe4
1.0
6.068 0.000 0.000
0.000 6.068 0.000
0.000 0.000 6.068
Nd Se Tl
3 4 1
direct
0.500 0.500 0.000 Nd
0.000 0.500 0.500 Nd
0.500 0.000 0.500 Nd
0.000 0.000 0.500 Se
0.500 0.000 0.000 Se
0.500 0.500 0.500 Se
0.000 0.500 0.000 Se
0.000 0.000 0.000 Tl
```

Values from the calculation:
As for the space group: Pm-3m. The value obtained for the spin magnetization is 0.00 μB per formula unit. The total energy comes out at -5.375 eV/atom. The volume is 223.5 Å³/f.u.

---

No. 4
## Pu2CuAs3Pt4 (PBE)

Data for an optimized crystal structure of Pu2CuAs3Pt4.

```
Pu2CuAs3Pt4
1.0
4.321 0.000 0.000
0.000 4.321 0.000
0.000 0.000 10.183
As Pt Cu Pu
3 4 1 2
direct
0.000 0.000 0.500 As
0.500 0.000 0.865 As
0.000 0.500 0.135 As
0.000 0.000 0.000 Pt
0.500 0.000 0.626 Pt
0.500 0.500 0.000 Pt
0.000 0.500 0.374 Pt
0.500 0.500 0.500 Cu
0.000 0.500 0.746 Pu
0.500 0.000 0.254 Pu
```

Values from the calculation:
As for the space group: P-4m2. The value obtained for the spin magnetization is 10.74 μB per formula unit. The total energy comes out at -7.676 eV/atom. The volume is 190.2 Å³/f.u.

---

No. 5
## CsZrSn3 (PBE)

Data for an optimized crystal structure of CsZrSn3.

```
CsZrSn3
1.0
5.678 0.000 0.000
0.000 5.678 0.000
0.000 0.000 5.678
Sn Cs Zr
3 1 1
direct
0.000 0.500 0.000 Sn
0.500 0.000 0.000 Sn
0.000 0.000 0.500 Sn
0.500 0.500 0.500 Cs
0.000 0.000 0.000 Zr
```

Values from the calculation:
The relative energy among the computed polymorphs comes out at 0.000 eV/atom. As for the space group: Pm-3m. The value obtained for the spin magnetization is 0.00 μB per formula unit. The total energy comes out at -4.377 eV/atom. The volume is 183.0 Å³/f.u.

---

No. 6
## Pm11Cd9Ga4 (PBE)

Data for an optimized crystal structure of Pm11Cd9Ga4.

```
Pm11Cd9Ga4
1.0
-3.445 0.626 1.280
-5.188 -6.595 -10.732
2.433 -8.235 10.576
Pm Ga Cd
11 4 9
direct
0.000 0.835 0.165 Pm
0.000 0.410 0.062 Pm
0.000 0.938 0.590 Pm
0.000 0.370 0.630 Pm
0.000 0.590 0.938 Pm
0.000 0.165 0.835 Pm
0.000 0.000 0.000 Pm
0.000 0.630 0.370 Pm
0.000 0.062 0.410 Pm
0.000 0.299 0.299 Pm
0.000 0.701 0.701 Pm
0.500 0.752 0.551 Ga
0.500 0.449 0.248 Ga
0.500 0.248 0.449 Ga
0.500 0.551 0.752 Ga
0.500 0.928 0.786 Cd
0.500 0.630 0.161 Cd
0.500 0.370 0.839 Cd
0.500 0.072 0.214 Cd
0.500 0.839 0.370 Cd
0.500 0.786 0.928 Cd
0.500 0.161 0.630 Cd
0.500 0.500 0.500 Cd
0.500 0.214 0.072 Cd
```

Values from the calculation:
As for the space group: Cmmm. The value obtained for the spin magnetization is 0.24 μB per formula unit. The total energy comes out at -3.411 eV/atom. The volume is 637.9 Å³/f.u.

---

No. 7
## RbZnS3 (PBE)

Data for an optimized crystal structure of RbZnS3.

```
RbZnS3
1.0
-2.211 -0.373 5.807
-3.356 -4.993 -1.599
4.754 -3.698 1.572
Rb Zn S
1 1 3
direct
0.000 0.000 0.000 Rb
0.500 0.500 0.500 Zn
0.500 0.000 0.000 S
0.000 0.500 0.000 S
0.000 0.000 0.500 S
```

Values from the calculation:
The relative energy among the computed polymorphs comes out at 1.279 eV/atom. As for the space group: Pm-3m. The value obtained for the spin magnetization is 5.00 μB per formula unit. The total energy comes out at -1.715 eV/atom. The volume is 241.2 Å³/f.u.

---

No. 8
## YAg2P2 (PBE)

Data for an optimized crystal structure of YAg2P2.

```
YAg2P2
1.0
-3.809 2.513 -1.199
-1.047 -3.175 -3.329
-4.880 -2.632 0.702
Ag P Y
2 2 1
direct
0.648 0.648 0.704 Ag
0.352 0.352 0.296 Ag
0.750 0.250 0.500 P
0.250 0.750 0.500 P
0.000 0.000 0.000 Y
```

Values from the calculation:
The relative energy among the computed polymorphs comes out at 0.255 eV/atom. As for the space group: I4/mmm. The value obtained for the spin magnetization is 0.00 μB per formula unit. The total energy comes out at -4.761 eV/atom. The volume is 99.8 Å³/f.u.

---

No. 9
## BaCaHgPb (PBE)

Data for an optimized crystal structure of BaCaHgPb.

```
BaCaHgPb
1.0
-1.126 2.572 -5.055
-4.687 -1.509 -3.031
-4.452 3.662 -0.453
Ca Ba Pb Hg
1 1 1 1
direct
0.000 0.000 0.000 Ca
0.500 0.500 0.500 Ba
0.250 0.250 0.250 Pb
0.750 0.750 0.750 Hg
```

Values from the calculation:
As for the space group: F-43m. The value obtained for the spin magnetization is 0.00 μB per formula unit. The total energy comes out at -2.556 eV/atom. The volume is 136.7 Å³/f.u.

---

No. 10
## RbLaNi3 (PBE)

Data for an optimized crystal structure of RbLaNi3.

```
RbLaNi3
1.0
-2.037 3.224 3.473
-4.422 0.065 -2.654
-1.702 -4.026 2.738
Ni La Rb
3 1 1
direct
0.000 0.000 0.500 Ni
0.500 0.000 0.000 Ni
0.000 0.500 0.000 Ni
0.000 0.000 0.000 La
0.500 0.500 0.500 Rb
```

Values from the calculation:
The relative energy among the computed polymorphs comes out at 0.000 eV/atom. As for the space group: Pm-3m. The value obtained for the spin magnetization is 0.00 μB per formula unit. The total energy comes out at -3.642 eV/atom. The volume is 137.2 Å³/f.u.

---

No. 11
## NbB2S6 (PBE)

Data for an optimized crystal structure of NbB2S6.

```
NbB2S6
1.0
-1.580 -2.558 5.125
6.998 -0.480 2.959
-0.369 6.392 4.118
S B Nb
12 4 2
direct
0.128 0.421 0.288 S
0.872 0.579 0.712 S
0.306 0.429 0.883 S
0.390 0.055 0.176 S
0.372 0.712 0.579 S
0.628 0.288 0.421 S
0.890 0.176 0.055 S
0.194 0.117 0.571 S
0.110 0.824 0.945 S
0.610 0.945 0.824 S
0.694 0.571 0.117 S
0.806 0.883 0.429 S
0.152 0.651 0.775 B
0.348 0.225 0.349 B
0.848 0.349 0.225 B
0.652 0.775 0.651 B
0.250 0.134 0.866 Nb
0.750 0.866 0.134 Nb
```

Values from the calculation:
As for the space group: C2/c. The value obtained for the spin magnetization is 0.00 μB per formula unit. The total energy comes out at -5.720 eV/atom. The volume is 168.9 Å³/f.u.

---

No. 12
## Zn2CrBi (PBE)

Data for an optimized crystal structure of Zn2CrBi.

```
Zn2CrBi
1.0
-6.199 4.708 -0.130
-4.538 -5.914 2.244
-4.922 0.058 3.703
Zn Cr Bi
4 2 2
direct
0.875 0.852 0.750 Zn
0.602 0.125 0.250 Zn
0.148 0.625 0.250 Zn
0.375 0.398 0.750 Zn
0.250 0.750 0.500 Cr
0.500 0.500 0.000 Cr
0.000 0.000 0.000 Bi
0.750 0.250 0.500 Bi
```

Values from the calculation:
As for the space group: I-42d. The value obtained for the spin magnetization is 3.37 μB per formula unit. The total energy comes out at -3.528 eV/atom. The volume is 83.8 Å³/f.u.

---

No. 13
## Li2TlRh (PBE)

Data for an optimized crystal structure of Li2TlRh.

```
Li2TlRh
1.0
-2.070 3.132 -1.258
-2.986 -1.011 2.396
1.624 2.271 2.983
Rh Tl Li
1 1 2
direct
0.500 0.000 0.500 Rh
0.000 0.500 0.500 Tl
0.500 0.500 0.000 Li
0.000 0.000 0.000 Li
```

Values from the calculation:
As for the space group: P4/mmm. The value obtained for the spin magnetization is 0.00 μB per formula unit. The total energy comes out at -3.585 eV/atom. The volume is 64.1 Å³/f.u.

---

No. 14
## ZnCuN (PBE)

Data for an optimized crystal structure of ZnCuN.

```
ZnCuN
1.0
3.391 0.000 0.000
-1.696 3.154 0.000
0.000 0.000 3.742
N Zn Cu
1 1 1
direct
0.669 0.338 0.500 N
0.679 0.358 0.000 Zn
0.985 0.971 0.500 Cu
```

Values from the calculation:
As for the space group: Amm2. The value obtained for the spin magnetization is 0.00 μB per formula unit. The total energy comes out at -4.142 eV/atom. The volume is 40.0 Å³/f.u.

---

No. 15
## LiCeTlZn (PBE)

Data for an optimized crystal structure of LiCeTlZn.

```
LiCeTlZn
1.0
4.959 0.000 0.000
0.000 4.959 -0.001
-2.480 -2.481 3.510
Zn Tl Li Ce
1 1 1 1
direct
0.500 0.500 0.000 Zn
0.250 0.750 0.500 Tl
0.000 0.000 0.000 Li
0.750 0.250 0.500 Ce
```

Values from the calculation:
The relative energy among the computed polymorphs comes out at 0.040 eV/atom. As for the space group: F-43m. The value obtained for the spin magnetization is 1.09 μB per formula unit. The total energy comes out at -3.039 eV/atom. The volume is 86.3 Å³/f.u.

---

No. 16
## TlTePI2 (PBE)

Data for an optimized crystal structure of TlTePI2.

```
TlTePI2
1.0
5.610 0.000 0.000
0.000 5.610 0.000
0.000 0.000 5.432
Tl I Te P
1 2 1 1
direct
0.500 0.500 0.500 Tl
0.000 0.500 0.000 I
0.500 0.000 0.000 I
0.000 0.000 0.500 Te
0.000 0.000 0.000 P
```

Values from the calculation:
The relative energy among the computed polymorphs comes out at 0.000 eV/atom. As for the space group: P4/mmm. The value obtained for the spin magnetization is 0.00 μB per formula unit. The total energy comes out at -2.773 eV/atom. The volume is 171.0 Å³/f.u.

---

No. 17
## La6PrNi2 (PBE)

Data for an optimized crystal structure of La6PrNi2.

```
La6PrNi2
1.0
-5.369 -1.683 0.198
-2.203 -1.707 5.824
-5.140 7.063 0.680
La Ni Pr
6 2 1
direct
0.384 0.814 0.419 La
0.310 0.312 0.069 La
0.060 0.064 0.815 La
0.616 0.186 0.581 La
0.690 0.688 0.931 La
0.940 0.936 0.185 La
0.319 0.586 0.776 Ni
0.681 0.414 0.224 Ni
0.000 0.500 0.500 Pr
```

Values from the calculation:
As for the space group: C2/m. The value obtained for the spin magnetization is 0.00 μB per formula unit. The total energy comes out at -5.160 eV/atom. The volume is 270.1 Å³/f.u.

---

No. 18
## NdTm8Th4 (PBE)

Data for an optimized crystal structure of NdTm8Th4.

```
NdTm8Th4
1.0
6.453 0.000 -3.481
-4.165 6.034 0.000
1.051 0.726 9.669
Th Nd Tm
4 1 8
direct
0.000 0.500 0.000 Th
0.500 0.000 0.000 Th
0.000 0.000 0.000 Th
0.500 0.500 0.000 Th
0.000 0.500 0.500 Nd
0.502 0.751 0.689 Tm
0.938 0.188 0.689 Tm
0.062 0.812 0.311 Tm
0.938 0.751 0.689 Tm
0.498 0.249 0.311 Tm
0.062 0.249 0.311 Tm
0.558 0.779 0.336 Tm
0.442 0.221 0.664 Tm
```

Values from the calculation:
As for the space group: R-3m. The value obtained for the spin magnetization is 0.00 μB per formula unit. The total energy comes out at -5.183 eV/atom. The volume is 409.1 Å³/f.u.

---

No. 19
## Be2InIr (PBE)

Data for an optimized crystal structure of Be2InIr.

```
Be2InIr
1.0
-2.410 2.806 1.090
-3.695 -0.091 -1.099
-3.095 -1.482 3.779
Ir Be In
1 2 1
direct
0.305 0.305 0.087 Ir
0.688 0.688 0.935 Be
0.005 0.005 0.986 Be
0.502 0.502 0.492 In
```

Values from the calculation:
As for the space group: Cm. The value obtained for the spin magnetization is 0.00 μB per formula unit. The total energy comes out at -4.971 eV/atom. The volume is 59.2 Å³/f.u.

---

No. 20
## Rb2Sr4P (PBE)

Data for an optimized crystal structure of Rb2Sr4P.

```
Rb2Sr4P
1.0
6.022 0.000 0.000
0.000 6.022 0.000
3.011 3.011 12.203
Rb Sr P
2 4 1
direct
0.317 0.317 0.365 Rb
0.683 0.683 0.635 Rb
0.879 0.879 0.242 Sr
0.500 0.000 0.000 Sr
0.121 0.121 0.758 Sr
0.000 0.500 0.000 Sr
0.000 0.000 0.000 P
```

Values from the calculation:
As for the space group: I4/mmm. The value obtained for the spin magnetization is 0.00 μB per formula unit. The total energy comes out at -2.211 eV/atom. The volume is 442.5 Å³/f.u.